1.
A plane-wave DFT calculation with GGA-PBEsol was carried out for crystalline SiAgP2 at its relaxed geometry.

The structure belongs to space group I-4m2 (No. 119); the cell edges are 3.586, 3.586 and 9.940 Å and the angles 90.00°, 90.00° and 90.00°. The asymmetric unit holds Si at (0.000, 0.000, 0.000), Ag at (0.000, 0.500, 0.250), P at (0.000, 0.000, 0.500) and P at (0.000, 0.500, 0.750).

The raw formation energy is 0.53 eV per atom. The value obtained for the density of states at the Fermi level is 1.9 states/eV/f.u. For the total magnetic moment, the calculation gives 0.000 μB/cell.

2.
A plane-wave DFT calculation with GGA-PBEsol was carried out for crystalline Ba2SrCu2 at its relaxed geometry.

The structure belongs to space group I4/mmm (No. 139); the cell edges are 5.655, 5.655 and 11.571 Å and the angles 90.00°, 90.00° and 90.00°. The asymmetric unit holds Ba at (0.000, 0.000, 0.156), Sr at (0.000, 0.000, 0.500) and Cu at (0.000, 0.500, 0.250).

The calculation puts the energy above the most stable polymorph in this dataset at 0.272 eV/atom. The energy of formation from the pure elements is 1.6 eV per formula unit. The value obtained for the density of states at the Fermi level is 4.5 states/eV/f.u. For the total magnetic moment, the calculation gives 0.001 μB/cell.

3.
A plane-wave DFT calculation with GGA-PBEsol was carried out for crystalline Cs3NaHg at its relaxed geometry.

The structure belongs to space group Pm-3m (No. 221); the cell edges are 7.160, 7.160 and 7.160 Å and the angles 90.00°, 90.00° and 90.00°. The asymmetric unit holds Cs at (0.000, 0.000, 0.500), Na at (0.500, 0.500, 0.500) and Hg at (0.000, 0.000, 0.000).

The energy of formation from the pure elements is -0.1 eV per formula unit. The value obtained for the density of states at the Fermi level is 5.5 states/eV/f.u. For the total magnetic moment, the calculation gives 0.000 μB/cell.

4.
A plane-wave DFT calculation with GGA-PBEsol was carried out for crystalline BeGaP2 at its relaxed geometry.

The structure belongs to space group I-42d (No. 122); the cell edges are 5.123, 5.123 and 10.500 Å and the angles 90.00°, 90.00° and 90.00°. The asymmetric unit holds Be at (0.000, 0.000, 0.000), Ga at (0.000, 0.000, 0.500) and P at (0.216, 0.250, 0.125).

The energy of formation from the pure elements is -0.6 eV per formula unit. The value obtained for the density of states at the Fermi level is 2.0 states/eV/f.u. For the total magnetic moment, the calculation gives 0.001 μB/cell.

5.
A plane-wave DFT calculation with GGA-PBEsol was carried out for crystalline CrAs2Se at its relaxed geometry.

The structure belongs to space group I4/mmm (No. 139); the cell edges are 3.780, 3.780 and 10.031 Å and the angles 90.00°, 90.00° and 90.00°. The asymmetric unit holds Cr at (0.000, 0.000, 0.000), As at (0.000, 0.500, 0.250) and Se at (0.000, 0.000, 0.500).

The raw formation energy is 0.30 eV per atom. The value obtained for the density of states at the Fermi level is 2.5 states/eV/f.u. For the total magnetic moment, the calculation gives 6.859 μB/cell.

6.
A plane-wave DFT calculation with GGA-PBEsol was carried out for crystalline MgCd8 at its relaxed geometry.

The structure belongs to space group I4/mmm (No. 139); the cell edges are 9.275, 9.275 and 4.380 Å and the angles 90.00°, 90.00° and 90.00°. The asymmetric unit holds Mg at (0.000, 0.000, 0.000), Cd at (0.000, 0.333, 0.000) and Cd at (0.166, 0.166, 0.500).

The energy of formation from the pure elements is -0.3 eV per formula unit. The value obtained for the density of states at the Fermi level is 3.0 states/eV/f.u. For the total magnetic moment, the calculation gives 0.000 μB/cell.

7.
A plane-wave DFT calculation with GGA-PBEsol was carried out for crystalline MgTl2Sb at its relaxed geometry.

The structure belongs to space group R-3m (No. 166, hexagonal axes); the cell edges are 3.3749, 3.3749 and 32.0948 Å and the angles 90.00°, 90.00° and 120.00°. The asymmetric unit holds Mg at (0.0000, 0.0000, 0.0000), Tl at (0.0000, 0.0000, 0.2530) and Sb at (0.0000, 0.0000, 0.5000).

The raw formation energy is 0.04 eV per atom. The calculation puts the energy above the most stable polymorph in this dataset at 0.115 eV/atom. The value obtained for the density of states at the Fermi level is 1.8 states/eV/f.u. For the total magnetic moment, the calculation gives 0.000 μB/cell.

8.
A plane-wave DFT calculation with GGA-PBEsol was carried out for crystalline K2LaPb at its relaxed geometry.

The structure belongs to space group I-4m2 (No. 119); the cell edges are 5.865, 5.865 and 8.312 Å and the angles 90.00°, 90.00° and 90.00°. The asymmetric unit holds K at (0.000, 0.000, 0.000), K at (0.000, 0.500, 0.250), La at (0.000, 0.500, 0.750) and Pb at (0.000, 0.000, 0.500).

The energy of formation from the pure elements is 0.2 eV per formula unit. The value obtained for the density of states at the Fermi level is 3.3 states/eV/f.u. For the total magnetic moment, the calculation gives 0.004 μB/cell.

9.
A plane-wave DFT calculation with GGA-PBEsol was carried out for crystalline Mo2AsP at its relaxed geometry.

The structure belongs to space group Cm (No. 8); the cell edges are 8.631, 3.132 and 4.413 Å and the angles 90.00°, 106.01° and 90.00°. The asymmetric unit holds Mo at (0.000, 0.000, 0.000), Mo at (0.231, 0.000, 0.622), As at (0.240, 0.500, 0.145) and P at (0.498, 0.000, 0.495).

The calculation puts the energy above the most stable polymorph in this dataset at 0.143 eV/atom. The energy of formation from the pure elements is -1.3 eV per formula unit. The value obtained for the density of states at the Fermi level is 1.9 states/eV/f.u. For the total magnetic moment, the calculation gives 0.000 μB/cell.

10.
A plane-wave DFT calculation with GGA-PBEsol was carried out for crystalline Te3Rh at its relaxed geometry.

The structure belongs to space group Pmmn (No. 59, origin choice 2); the cell edges are 3.815, 7.643 and 7.966 Å and the angles 90.00°, 90.00° and 90.00°. The asymmetric unit holds Te at (0.250, 0.023, 0.146), Te at (0.250, 0.250, 0.477) and Rh at (0.250, 0.750, 0.322).

The raw formation energy is 0.07 eV per atom. The value obtained for the density of states at the Fermi level is 2.8 states/eV/f.u. For the total magnetic moment, the calculation gives 0.000 μB/cell.

11.
A plane-wave DFT calculation with GGA-PBEsol was carried out for crystalline TaIBr2 at its relaxed geometry.

The structure belongs to space group R-3m (No. 166, hexagonal axes); the cell edges are 3.3665, 3.3665 and 35.3417 Å and the angles 90.00°, 90.00° and 120.00°. The asymmetric unit holds Ta at (0.0000, 0.0000, 0.0000), I at (0.0000, 0.0000, 0.5000) and Br at (0.0000, 0.0000, 0.0674).

The raw formation energy is 0.10 eV per atom. The value obtained for the density of states at the Fermi level is 3.5 states/eV/f.u. For the total magnetic moment, the calculation gives 0.001 μB/cell.

12.
A plane-wave DFT calculation with GGA-PBEsol was carried out for crystalline Lu2Mn12P7 at its relaxed geometry.

The structure belongs to space group P-6 (No. 174); the cell edges are 9.0783, 9.0783 and 3.5404 Å and the angles 90.00°, 90.00° and 120.00°. The asymmetric unit holds Lu at (0.0000, 0.0000, 0.0000), Lu at (0.3333, 0.6667, 0.5000), Mn at (0.0582, 0.2888, 0.5000), Mn at (0.0928, 0.7112, 0.0000), Mn at (0.3893, 0.1763, 0.0000), Mn at (0.5454, 0.4337, 0.5000), P at (0.0783, 0.4558, 0.0000), P at (0.2567, 0.2058, 0.5000) and P at (0.6667, 0.3333, 0.0000).

The energy of formation from the pure elements is -15.7 eV per formula unit. The value obtained for the density of states at the Fermi level is 16.8 states/eV/f.u. For the total magnetic moment, the calculation gives 14.534 μB/cell.

13.
A plane-wave DFT calculation with GGA-PBEsol was carried out for crystalline CoIr3 at its relaxed geometry.

The structure belongs to space group C2/m (No. 12); the cell edges are 8.774, 2.678 and 4.580 Å and the angles 90.00°, 100.48° and 90.00°. The asymmetric unit holds Co at (0.000, 0.000, 0.000), Ir at (0.000, 0.500, 0.500) and Ir at (0.248, 0.500, 0.245).

The energy of formation from the pure elements is 0.1 eV per formula unit. The value obtained for the density of states at the Fermi level is 4.3 states/eV/f.u. For the total magnetic moment, the calculation gives 2.670 μB/cell.

14.
A plane-wave DFT calculation with GGA-PBEsol was carried out for crystalline TaTcI2N at its relaxed geometry.

The structure belongs to space group P4/mmm (No. 123); the cell edges are 5.560, 5.560 and 3.868 Å and the angles 90.00°, 90.00° and 90.00°. The asymmetric unit holds Ta at (0.000, 0.000, 0.000), Tc at (0.500, 0.500, 0.500), I at (0.000, 0.500, 0.000) and N at (0.000, 0.000, 0.500).

The raw formation energy is 0.93 eV per atom. The value obtained for the density of states at the Fermi level is 4.1 states/eV/f.u. For the total magnetic moment, the calculation gives 4.471 μB/cell.